No. 1
# LaGa2Ir2

A geometry-optimized LaGa2Ir2 structure (PBE, Alexandria).

Output
Crystal system: tetragonal

a b c (Å): 4.244 4.244 10.884
angles (deg): 90.00 90.00 90.00
Space group I4/mmm (No. 139)
Inequivalent atoms, fractional coordinates:
La 0.000 0.000 0.000 x2
Ga 0.000 0.500 0.250 x4
Ir 0.000 0.000 0.382 x4


No. 2
# Th6SbP3S2

A geometry-optimized Th6SbP3S2 structure (PBE, Alexandria).

Output
Crystal system: monoclinic
E_form (uncorrected) (eV per formula unit): -18.2

a b c (Å): 18.244 4.175 8.377
angles (deg): 90.00 103.97 90.00
Space group C2/m (No. 12)
Inequivalent atoms, fractional coordinates:
Th 0.001 0.000 0.273 x4
Th 0.165 0.500 0.587 x4
Th 0.175 0.500 0.083 x4
Sb 0.000 0.500 0.000 x2
P 0.000 0.500 0.500 x2
P 0.163 0.000 0.830 x4
S 0.169 0.000 0.334 x4


No. 3
# ScAlIn3

A geometry-optimized ScAlIn3 structure (PBE, Alexandria).

Output
Polymorph energy (0 for the lowest one) (eV/atom): 0.237
Crystal system: cubic

a b c (Å): 5.588 5.588 5.588
angles (deg): 90.00 90.00 90.00
Space group Pm-3m (No. 221)
Inequivalent atoms, fractional coordinates:
Sc 0.000 0.000 0.000 x1
Al 0.500 0.500 0.500 x1
In 0.000 0.000 0.500 x3


No. 4
# YRuAu3

A geometry-optimized YRuAu3 structure (PBE, Alexandria).

Output
Polymorph energy (0 for the lowest one) (eV/atom): 0.000
Crystal system: cubic

a b c (Å): 4.982 4.982 4.982
angles (deg): 90.00 90.00 90.00
Space group Pm-3m (No. 221)
Inequivalent atoms, fractional coordinates:
Y 0.000 0.000 0.000 x1
Ru 0.500 0.500 0.500 x1
Au 0.000 0.500 0.500 x3


No. 5
# Li4Hf3FeS8

A geometry-optimized Li4Hf3FeS8 structure (PBE, Alexandria).

Output
Crystal system: trigonal
E_form (uncorrected) (eV per formula unit): -21.5

a b c (Å): 7.1828 7.1828 18.5205
angles (deg): 90.00 90.00 120.00
Space group R-3m (No. 166, hexagonal axes)
Inequivalent atoms, fractional coordinates:
Li 0.0000 0.0000 0.0000 x3
Li 0.0000 0.5000 0.0000 x9
Hf 0.0000 0.5000 0.5000 x9
Fe 0.0000 0.0000 0.5000 x3
S 0.0000 0.0000 0.2490 x6
S 0.0026 0.5013 0.2471 x18


No. 6
# KSrV

A geometry-optimized KSrV structure (PBE, Alexandria).

Output
Polymorph energy (0 for the lowest one) (eV/atom): 0.149
Crystal system: monoclinic

a b c (Å): 19.109 6.135 4.421
angles (deg): 90.00 90.10 90.00
Space group Cm (No. 8)
Inequivalent atoms, fractional coordinates:
K 0.000 0.000 0.000 x2
K 0.088 0.500 0.527 x2
Sr 0.258 0.500 0.026 x2
Sr 0.351 0.000 0.493 x2
V 0.185 0.000 0.376 x2
V 0.199 0.000 0.970 x2


Number 1: final energy -64.1 eV for the cell shown, DOS at the Fermi energy 0.804 states/eV per atom. Number 2: final energy -182.6 eV for the cell shown, DOS at the Fermi energy 0.624 states/eV per atom. Number 3: final energy -15.1 eV for the cell shown, DOS at the Fermi energy 1.087 states/eV per atom. Number 4: final energy -23.5 eV for the cell shown, DOS at the Fermi energy 0.967 states/eV per atom. Number 5: final energy -301.4 eV for the cell shown, DOS at the Fermi energy 0.452 states/eV per atom. Number 6: final energy -40.2 eV for the cell shown, DOS at the Fermi energy 0.974 states/eV per atom.